# Sc2SbC

An optimized crystal structure of Sc2SbC (PBE, Alexandria).

Values from the calculation:
D(E_F), states/eV/atom: 0.3724
Uncorrected formation energy, meV per atom: -383
Total magnetic moment, μB per atom: 0.00
E, hartree per atom: -0.2530
SG: No. 122

abc: 6.8803 6.8803 5.8576
angles: 54.03 54.03 90.00
Closest atoms and distances in Å follow each position.
Atoms (fractional coordinates):
Sc: 0.5386 0.1250 0.2500  2 C 2.21
Sc: 0.2114 0.6250 0.2500  2 C 2.21
Sc: 0.3750 0.4614 0.7500  2 C 2.21
Sc: 0.8750 0.7886 0.7500  2 C 2.21
Sb: 0.0000 0.0000 0.0000  8 Sc 3.00-3.20, 2 C 3.26
Sb: 0.7500 0.2500 0.5000  8 Sc 3.00-3.20, 2 C 3.26
C: 0.5000 0.5000 0.0000  4 Sc 2.21
C: 0.2500 0.7500 0.5000  4 Sc 2.21

***

# Sc6Sb2C

An optimized crystal structure of Sc6Sb2C (PBE, Alexandria).

Values from the calculation:
D(E_F), states/eV/atom: 1.0596
Uncorrected formation energy, meV per atom: -636
Total magnetic moment, μB per atom: 0.00
E, hartree per atom: -0.2498
SG: No. 139

abc: 6.3828 6.3829 9.0567
angles: 90.00 89.99 90.00
Closest atoms and distances in Å follow each position.
Atoms (fractional coordinates):
Sc: 0.0000 0.0000 0.2540  1 C 2.23
Sc: 0.7530 0.7529 0.5000  1 C 2.23
Sc: 0.7471 0.7469 0.0000  1 C 2.23
Sc: 0.7529 0.2469 0.5000  1 C 2.23
Sc: 0.7470 0.2529 0.0000  1 C 2.23
Sc: 0.5000 0.5000 0.2460  1 C 2.23
Sc: 0.0000 0.0000 0.7460  1 C 2.23
Sc: 0.2470 0.2471 0.5000  1 C 2.23
Sc: 0.2529 0.2531 0.0000  1 C 2.23
Sc: 0.2471 0.7531 0.5000  1 C 2.23
Sc: 0.2530 0.7471 0.0000  1 C 2.23
Sc: 0.5000 0.5000 0.7540  1 C 2.23
Sb: 0.0000 0.5000 0.7500  12 Sc 3.19-3.20
Sb: 0.5000 0.0000 0.7500  12 Sc 3.19-3.20
Sb: 0.5000 0.0000 0.2500  12 Sc 3.19-3.20
Sb: 0.0000 0.5000 0.2500  12 Sc 3.19-3.20
C: 0.5000 0.5000 0.0000  6 Sc 2.23
C: 0.0000 0.0000 0.5000  6 Sc 2.23

***

# Sc6SbC2

An optimized crystal structure of Sc6SbC2 (PBE, Alexandria).

Values from the calculation:
D(E_F), states/eV/atom: 0.9012
Uncorrected formation energy, meV per atom: -383
Total magnetic moment, μB per atom: 0.00
E, hartree per atom: -0.2614
SG: No. 12

abc: 4.5265 6.3917 7.3921
angles: 71.77 72.17 69.26
Closest atoms and distances in Å follow each position.
Atoms (fractional coordinates):
Sc: 0.6950 0.6813 0.9287  3 C 2.28-2.45
Sc: 0.3050 0.3187 0.0713  3 C 2.28-2.45
Sc: 0.9664 0.8789 0.1884  2 C 2.29-2.35
Sc: 0.3293 0.7554 0.5861  1 C 2.23
Sc: 0.0336 0.1211 0.8116  2 C 2.29-2.35
Sc: 0.6707 0.2446 0.4139  1 C 2.23
Sb: 0.0000 0.5000 0.5000  6 Sc 2.77-2.87
C: 0.1822 0.7277 0.9079  6 Sc 2.23-2.45
C: 0.8178 0.2723 0.0921  6 Sc 2.23-2.45

***

# Sc6Sb2C

An optimized crystal structure of Sc6Sb2C (PBE, Alexandria).

Values from the calculation:
D(E_F), states/eV/atom: 1.3920
Uncorrected formation energy, meV per atom: -366
Total magnetic moment, μB per atom: 0.00
E, hartree per atom: -0.2399
SG: No. 136

abc: 6.0645 6.0645 12.3683
angles: 90.00 90.00 90.00
Closest atoms and distances in Å follow each position.
Atoms (fractional coordinates):
Sc: 0.3159 0.3159 0.3732  1 C 2.23
Sc: 0.6841 0.6841 0.3732  1 C 2.23
Sc: 0.1841 0.8159 0.8732  1 C 2.23
Sc: 0.8159 0.1841 0.8732  1 C 2.23
Sc: 0.1841 0.8159 0.1268  1 C 2.23
Sc: 0.8159 0.1841 0.1268  1 C 2.23
Sc: 0.3159 0.3159 0.6268  1 C 2.23
Sc: 0.6841 0.6841 0.6268  1 C 2.23
Sc: 0.2761 0.2761 0.0000  1 C 2.37
Sc: 0.7239 0.7239 0.0000  1 C 2.37
Sc: 0.2239 0.7761 0.5000  1 C 2.37
Sc: 0.7761 0.2239 0.5000  1 C 2.37
Sb: 0.0000 0.0000 0.3212  6 Sc 2.78-2.93
Sb: 0.5000 0.5000 0.8212  6 Sc 2.78-2.93
Sb: 0.5000 0.5000 0.1788  6 Sc 2.78-2.93
Sb: 0.0000 0.0000 0.6788  6 Sc 2.78-2.93
C: 0.0000 0.0000 0.0000  6 Sc 2.23-2.37
C: 0.5000 0.5000 0.5000  6 Sc 2.23-2.37

***

# Sc2SbC

An optimized crystal structure of Sc2SbC (PBE, Alexandria).

Values from the calculation:
D(E_F), states/eV/atom: 1.1573
Uncorrected formation energy, meV per atom: 385
Total magnetic moment, μB per atom: 0.00
E, hartree per atom: -0.2248
SG: No. 225

abc: 4.7222 4.7222 4.7222
angles: 60.00 60.00 60.00
Closest atoms and distances in Å follow each position.
Atoms (fractional coordinates):
Sc: 0.2500 0.2500 0.2500  4 Sb 2.89, 4 C 2.89
Sc: 0.7500 0.7500 0.7500  4 Sb 2.89, 4 C 2.89
Sb: 0.5000 0.5000 0.5000  8 Sc 2.89
C: 0.0000 0.0000 0.0000  8 Sc 2.89

***

# ScSbC

An optimized crystal structure of ScSbC (PBE, Alexandria).

Values from the calculation:
D(E_F), states/eV/atom: 0.5208
Uncorrected formation energy, meV per atom: -4
Total magnetic moment, μB per atom: 0.00
E, hartree per atom: -0.2412
SG: No. 71

abc: 4.1807 3.7631 8.3839
angles: 102.97 104.44 90.00
Closest atoms and distances in Å follow each position.
Atoms (fractional coordinates):
Sb: 0.6897 0.1897 0.3794  5 Sc 3.09-3.18, 4 Sb 3.40
Sb: 0.3103 0.8103 0.6206  5 Sc 3.09-3.18, 4 Sb 3.40
C: 0.6505 0.5000 0.0000  1 C 1.26
C: 0.3495 0.5000 0.0000  1 C 1.26
Sc: 0.1090 0.6090 0.2180  2 C 2.26
Sc: 0.8910 0.3910 0.7820  2 C 2.26

***

# Sc5Sb4C

An optimized crystal structure of Sc5Sb4C (PBE, Alexandria).

Values from the calculation:
D(E_F), states/eV/atom: 0.3452
Uncorrected formation energy, meV per atom: -717
Total magnetic moment, μB per atom: 0.00
E, hartree per atom: -0.2372
SG: No. 79

abc: 5.8175 6.9222 6.9222
angles: 79.83 65.15 65.15
Closest atoms and distances in Å follow each position.
Atoms (fractional coordinates):
Sc: 0.9070 0.3396 0.8519  1 C 2.34
Sc: 0.2465 0.8519 0.6604  1 C 2.34
Sc: 0.7589 0.1481 0.3396  1 C 2.34
Sc: 0.0985 0.6604 0.1481  1 C 2.34
Sc: 0.4320 0.0000 0.0000  1 C 2.24
Sb: 0.4246 0.3943 0.7670  6 Sc 2.91-3.10
Sb: 0.8189 0.7670 0.6057  6 Sc 2.91-3.10
Sb: 0.1916 0.2330 0.3943  6 Sc 2.91-3.10
Sb: 0.5859 0.6057 0.2330  6 Sc 2.91-3.10
C: 0.0466 0.0000 0.0000  5 Sc 2.24-2.34

***

# ScSb3C

An optimized crystal structure of ScSb3C (PBE, Alexandria).

Values from the calculation:
D(E_F), states/eV/atom: 0.9306
Uncorrected formation energy, meV per atom: 618
Total magnetic moment, μB per atom: 0.00
E, hartree per atom: -0.1825
SG: No. 221

abc: 4.7830 4.7830 4.7830
angles: 90.00 90.00 90.00
Closest atoms and distances in Å follow each position.
Atoms (fractional coordinates):
Sc: 0.5000 0.5000 0.5000  12 Sb 3.38
Sb: 0.0000 0.5000 0.0000  2 C 2.39
Sb: 0.0000 0.0000 0.5000  2 C 2.39
Sb: 0.5000 0.0000 0.0000  2 C 2.39
C: 0.0000 0.0000 0.0000  6 Sb 2.39

***

# Sc12Sb6C

An optimized crystal structure of Sc12Sb6C (PBE, Alexandria).

Values from the calculation:
D(E_F), states/eV/atom: 0.7234
Uncorrected formation energy, meV per atom: -624
Total magnetic moment, μB per atom: 0.00
E, hartree per atom: -0.2356
SG: No. 148

abc: 7.8800 7.8800 7.8800
angles: 99.70 99.70 99.70
Closest atoms and distances in Å follow each position.
Atoms (fractional coordinates):
Sc: 0.8020 0.5799 0.4606  4 Sb 2.88-3.11
Sc: 0.4606 0.8020 0.5799  4 Sb 2.88-3.11
Sc: 0.5799 0.4606 0.8020  4 Sb 2.88-3.11
Sc: 0.1980 0.4201 0.5394  4 Sb 2.88-3.11
Sc: 0.5394 0.1980 0.4201  4 Sb 2.88-3.11
Sc: 0.4201 0.5394 0.1980  4 Sb 2.88-3.11
Sc: 0.0617 0.0031 0.2949  1 C 2.29
Sc: 0.9969 0.7051 0.9383  1 C 2.29
Sc: 0.7051 0.9383 0.9969  1 C 2.29
Sc: 0.9383 0.9969 0.7051  1 C 2.29
Sc: 0.0031 0.2949 0.0617  1 C 2.29
Sc: 0.2949 0.0617 0.0031  1 C 2.29
Sb: 0.6975 0.8847 0.3513  7 Sc 2.88-3.11
Sb: 0.6487 0.3025 0.1153  7 Sc 2.88-3.11
Sb: 0.1153 0.6487 0.3025  7 Sc 2.88-3.11
Sb: 0.3025 0.1153 0.6487  7 Sc 2.88-3.11
Sb: 0.3513 0.6975 0.8847  7 Sc 2.88-3.11
Sb: 0.8847 0.3513 0.6975  7 Sc 2.88-3.11
C: 0.0000 0.0000 0.0000  6 Sc 2.29

***

# Sc3Sb2C

An optimized crystal structure of Sc3Sb2C (PBE, Alexandria).

Values from the calculation:
D(E_F), states/eV/atom: 0.3109
Uncorrected formation energy, meV per atom: -545
Total magnetic moment, μB per atom: 0.00
E, hartree per atom: -0.2434
SG: No. 71

abc: 4.1163 4.4456 8.0430
angles: 106.04 104.83 90.00
Closest atoms and distances in Å follow each position.
Atoms (fractional coordinates):
Sc: 0.0000 0.5000 0.0000  2 C 2.22
Sc: 0.8517 0.8517 0.7035  1 C 2.21
Sc: 0.1483 0.1483 0.2965  1 C 2.21
Sb: 0.6478 0.6478 0.2957  7 Sc 3.01-3.04
Sb: 0.3522 0.3522 0.7043  7 Sc 3.01-3.04
C: 0.0000 0.0000 0.0000  4 Sc 2.21-2.22

***

# Sc2SbC

An optimized crystal structure of Sc2SbC (PBE, Alexandria).

Values from the calculation:
D(E_F), states/eV/atom: 0.3716
Uncorrected formation energy, meV per atom: -734
Total magnetic moment, μB per atom: 0.00
E, hartree per atom: -0.2659
SG: No. 166

abc: 3.4315 3.4315 7.4118
angles: 76.62 76.62 60.00
Closest atoms and distances in Å follow each position.
Atoms (fractional coordinates):
Sc: 0.2774 0.2774 0.1677  3 C 2.32
Sc: 0.7226 0.7226 0.8323  3 C 2.32
Sb: 0.5000 0.5000 0.5000  6 Sc 3.09, 6 Sb 3.43
C: 0.0000 0.0000 0.0000  6 Sc 2.32

***

# Sc2SbC

An optimized crystal structure of Sc2SbC (PBE, Alexandria).

Values from the calculation:
D(E_F), states/eV/atom: 0.3851
Uncorrected formation energy, meV per atom: 435
Total magnetic moment, μB per atom: 0.25
E, hartree per atom: -0.2230
SG: No. 166

abc: 7.5015 7.5015 7.5015
angles: 34.41 34.41 34.41
Closest atoms and distances in Å follow each position.
Atoms (fractional coordinates):
Sc: 0.9047 0.9047 0.9047  1 C 2.02
Sc: 0.0953 0.0953 0.0953  1 C 2.02
Sb: 0.5000 0.5000 0.5000  6 Sc 2.97
C: 0.0000 0.0000 0.0000  2 Sc 2.02